Entry 1:
Computed, not measured: a relaxed structure of LiHg2Br at the PBE-GGA level of DFT.

CIF file:
```
data_LiHg2Br
_chemical_formula_sum 'Li2 Hg4 Br2'
_symmetry_space_group_name_H-M 'I m m 2'
_symmetry_Int_Tables_number 44
_cell_length_a 3.8534
_cell_length_b 6.5268
_cell_length_c 9.7255
_cell_angle_alpha 90.00
_cell_angle_beta 90.00
_cell_angle_gamma 90.00
loop_
_symmetry_equiv_pos_as_xyz
'x,y,z'
'-x,-y,z'
'-x,y,z'
'x,-y,z'
'x+1/2,y+1/2,z+1/2'
'-x+1/2,-y+1/2,z+1/2'
'-x+1/2,y+1/2,z+1/2'
'x+1/2,-y+1/2,z+1/2'
loop_
_atom_site_label
_atom_site_type_symbol
_atom_site_fract_x
_atom_site_fract_y
_atom_site_fract_z
Li1 Li 0.0000 0.0000 0.0000
Hg1 Hg 0.0000 0.0000 0.5326
Hg2 Hg 0.0000 0.5000 0.7505
Br1 Br 0.0000 0.5000 0.3489
```

Calculated values
E_tot (eV/f.u.): -6.5
ρ (g/cm³): 6.63
Distance to the lowest polymorph of the same formula (meV per atom): 102
Formation energy from raw total energies (eV/atom): -0.59



Entry 2:
Computed, not measured: a relaxed structure of LiHg2Br at the PBE-GGA level of DFT.

CIF file:
```
data_LiHg2Br
_chemical_formula_sum 'Li4 Hg8 Br4'
_symmetry_space_group_name_H-M 'F -4 3 m'
_symmetry_Int_Tables_number 216
_symmetry_space_group_name_Hall 'F -4 2 3'
_cell_length_a 7.6144
_cell_length_b 7.6144
_cell_length_c 7.6144
_cell_angle_alpha 90.00
_cell_angle_beta 90.00
_cell_angle_gamma 90.00
loop_
_atom_site_label
_atom_site_type_symbol
_atom_site_fract_x
_atom_site_fract_y
_atom_site_fract_z
Li1 Li 0.0000 0.0000 0.0000
Hg1 Hg 0.0000 0.0000 0.5000
Hg2 Hg 0.2500 0.2500 0.7500
Br1 Br 0.2500 0.2500 0.2500
```

Calculated values
E_tot (eV/f.u.): -5.9
ρ (g/cm³): 7.34
Distance to the lowest polymorph of the same formula (meV per atom): 254
Formation energy from raw total energies (eV/atom): -0.43



Entry 3:
Computed, not measured: a relaxed structure of LiHg4Br at the PBE-GGA level of DFT.

CIF file:
```
data_LiHg4Br
_chemical_formula_sum 'Li4 Hg16 Br4'
_symmetry_space_group_name_H-M 'F -4 3 m'
_symmetry_Int_Tables_number 216
_symmetry_space_group_name_Hall 'F -4 2 3'
_cell_length_a 8.9496
_cell_length_b 8.9496
_cell_length_c 8.9496
_cell_angle_alpha 90.00
_cell_angle_beta 90.00
_cell_angle_gamma 90.00
loop_
_atom_site_label
_atom_site_type_symbol
_atom_site_fract_x
_atom_site_fract_y
_atom_site_fract_z
Li1 Li 0.0000 0.0000 0.0000
Hg1 Hg 0.1248 0.1248 0.3752
Br1 Br 0.2500 0.2500 0.7500
```

Calculated values
E_tot (eV/f.u.): -5.9
ρ (g/cm³): 8.24
Formation energy from raw total energies (eV/atom): -0.18